(1)
Here is K2TlPCO7 at its PBEsol-relaxed geometry from the Alexandria database. Energies are from SCAN.

a b c (Å): 5.514 7.116 9.920
angles (deg): 90.00 89.43 90.00
Atoms (fractional coordinates):
K: 0.749 0.021 0.780
K: 0.749 0.479 0.780
K: 0.251 0.521 0.220
K: 0.251 0.979 0.220
Tl: 0.215 0.750 0.623
Tl: 0.785 0.250 0.377
P: 0.280 0.250 0.572
P: 0.720 0.750 0.428
C: 0.260 0.750 0.896
C: 0.740 0.250 0.104
O: 0.703 0.250 0.980
O: 0.045 0.750 0.842
O: 0.444 0.750 0.808
O: 0.195 0.074 0.651
O: 0.195 0.426 0.651
O: 0.820 0.750 0.575
O: 0.566 0.250 0.563
O: 0.434 0.750 0.437
O: 0.180 0.250 0.425
O: 0.805 0.574 0.349
O: 0.805 0.926 0.349
O: 0.556 0.250 0.192
O: 0.955 0.250 0.158
O: 0.297 0.750 0.020

Calculated values
Its space-group type is P2_1/m, No. 11. For the formation energy from raw total energies, the calculation gives -1.884 eV per atom. As for the density: 3.7 g/cm³.

(2)
Here is BaInTe2 at its PBEsol-relaxed geometry from the Alexandria database. Energies are from SCAN.

a b c (Å): 4.601 4.601 8.277
angles (deg): 73.86 73.86 60.00
Atoms (fractional coordinates):
Ba: 0.500 0.500 0.500
In: 0.000 0.000 0.000
Te: 0.260 0.260 0.221
Te: 0.740 0.740 0.779

Calculated values
Its space-group type is R-3m, No. 166. For the formation energy from raw total energies, the calculation gives -0.955 eV per atom. As for the density: 5.9 g/cm³.

(3)
Here is PmSm at its PBEsol-relaxed geometry from the Alexandria database. Energies are from SCAN.

a b c (Å): 3.577 3.577 5.769
angles (deg): 90.00 90.00 120.00
Atoms (fractional coordinates):
Sm: 0.667 0.333 0.000
Pm: 0.333 0.667 0.500

Calculated values
Its space-group type is P-6m2, No. 187. The value obtained for the calculated total energy is -44.187 eV per atom. As for the density: 7.7 g/cm³.

(4)
Here is Ru2PbCl at its PBEsol-relaxed geometry from the Alexandria database. Energies are from SCAN.

a b c (Å): 3.038 3.091 8.318
angles (deg): 90.00 90.00 119.44
Atoms (fractional coordinates):
Cl: 0.500 0.000 0.500
Pb: 0.500 0.000 0.000
Ru: 0.000 0.000 0.736
Ru: 0.000 0.000 0.264

Calculated values
Its energy above the most stable polymorph in this dataset is 169 meV per atom. Its space-group type is Cmmm, No. 65. For the formation energy from raw total energies, the calculation gives 0.823 eV per atom. As for the density: 10.9 g/cm³.

(5)
Here is K2Li2Os at its PBEsol-relaxed geometry from the Alexandria database. Energies are from SCAN.

a b c (Å): 3.290 3.290 11.818
angles (deg): 98.00 98.00 90.00
Atoms (fractional coordinates):
K: 0.602 0.602 0.203
K: 0.398 0.398 0.797
Li: 0.250 0.750 0.500
Li: 0.750 0.250 0.500
Os: 0.000 0.000 0.000

Calculated values
Its space-group type is I4/mmm, No. 139. The value obtained for the calculated total energy is -17.558 eV per atom. As for the density: 3.7 g/cm³.

(6)
Here is Cu2Pt3 at its PBEsol-relaxed geometry from the Alexandria database. Energies are from SCAN.

a b c (Å): 3.810 5.995 5.981
angles (deg): 89.78 90.00 90.00
Atoms (fractional coordinates):
Cu: 0.000 0.196 0.398
Cu: 0.500 0.500 0.500
Cu: 0.000 0.804 0.602
Cu: 0.000 0.000 0.000
Pt: 0.500 0.100 0.696
Pt: 0.000 0.402 0.787
Pt: 0.500 0.703 0.894
Pt: 0.500 0.297 0.106
Pt: 0.000 0.598 0.213
Pt: 0.500 0.900 0.304

Calculated values
Its energy above the most stable polymorph in this dataset is 28 meV per atom. Its space-group type is P2/m, No. 10. As for the density: 17.3 g/cm³.

(7)
Here is K2Tl at its PBEsol-relaxed geometry from the Alexandria database. Energies are from SCAN.

a b c (Å): 4.139 7.435 9.900
angles (deg): 109.89 90.00 106.16
Atoms (fractional coordinates):
Tl: 0.184 0.368 0.043
Tl: 0.816 0.632 0.957
K: 0.474 0.949 0.807
K: 0.826 0.652 0.354
K: 0.174 0.348 0.646
K: 0.526 0.051 0.193

Calculated values
Its energy above the most stable polymorph in this dataset is 4 meV per atom. Its space-group type is C2/m, No. 12. As for the density: 3.4 g/cm³.

(8)
Here is ZrTlHS2 at its PBEsol-relaxed geometry from the Alexandria database. Energies are from SCAN.

a b c (Å): 3.460 5.151 5.151
angles (deg): 90.00 90.00 90.00
Atoms (fractional coordinates):
H: 0.500 0.000 0.000
Tl: 0.000 0.000 0.000
S: 0.000 0.000 0.500
S: 0.000 0.500 0.000
Zr: 0.500 0.500 0.500

Calculated values
Its space-group type is P4/mmm, No. 123. The value obtained for the calculated total energy is -25.170 eV per atom. As for the density: 6.5 g/cm³.

(9)
Here is Cr2C at its PBEsol-relaxed geometry from the Alexandria database. Energies are from SCAN.

a b c (Å): 2.794 4.273 4.772
angles (deg): 90.00 90.00 90.00
Atoms (fractional coordinates):
Cr: 0.000 0.238 0.649
Cr: 0.000 0.762 0.351
Cr: 0.500 0.738 0.851
Cr: 0.500 0.262 0.149
C: 0.000 0.000 0.000
C: 0.500 0.500 0.500

Calculated values
Its space-group type is Pnnm, No. 58. The value obtained for the calculated total energy is -15.698 eV per atom. As for the density: 6.8 g/cm³.

(10)
Here is SnP2SO at its PBEsol-relaxed geometry from the Alexandria database. Energies are from SCAN.

a b c (Å): 4.919 5.032 5.032
angles (deg): 90.00 90.00 90.00
Atoms (fractional coordinates):
P: 0.000 0.000 0.500
P: 0.000 0.500 0.000
S: 0.500 0.000 0.000
Sn: 0.000 0.000 0.000
O: 0.500 0.500 0.500

Calculated values
Its energy above the most stable polymorph in this dataset is 1132 meV per atom. Its space-group type is P4/mmm, No. 123. For the formation energy from raw total energies, the calculation gives 1.517 eV per atom. As for the density: 3.0 g/cm³.

(11)
Here is CdTe3Pd at its PBEsol-relaxed geometry from the Alexandria database. Energies are from SCAN.

a b c (Å): 5.428 5.428 5.428
angles (deg): 90.00 90.00 90.00
Atoms (fractional coordinates):
Te: 0.000 0.500 0.000
Te: 0.000 0.000 0.500
Te: 0.500 0.000 0.000
Pd: 0.500 0.500 0.500
Cd: 0.000 0.000 0.000

Calculated values
Its space-group type is Pm-3m, No. 221. For the formation energy from raw total energies, the calculation gives 0.932 eV per atom. As for the density: 6.2 g/cm³.

(12)
Here is Cs2SrAlN at its PBEsol-relaxed geometry from the Alexandria database. Energies are from SCAN.

a b c (Å): 3.620 7.875 7.875
angles (deg): 90.00 90.00 90.00
Atoms (fractional coordinates):
Cs: 0.000 0.000 0.500
Cs: 0.000 0.500 0.000
Sr: 0.500 0.500 0.500
Al: 0.000 0.000 0.000
N: 0.500 0.000 0.000

Calculated values
Its space-group type is P4/mmm, No. 123. For the formation energy from raw total energies, the calculation gives 0.316 eV per atom. As for the density: 2.9 g/cm³.

(13)
Here is Y5As at its PBEsol-relaxed geometry from the Alexandria database. Energies are from SCAN.

a b c (Å): 5.804 6.124 6.124
angles (deg): 120.00 90.00 90.00
Atoms (fractional coordinates):
As: 0.000 0.000 0.000
Y: 0.000 0.667 0.333
Y: 0.000 0.333 0.667
Y: 0.500 0.500 0.500
Y: 0.500 0.000 0.500
Y: 0.500 0.500 0.000

Calculated values
Its space-group type is P6/mmm, No. 191. The value obtained for the calculated total energy is -25.955 eV per atom. As for the density: 4.6 g/cm³.

(14)
Here is CsBaCdIn2 at its PBEsol-relaxed geometry from the Alexandria database. Energies are from SCAN.

a b c (Å): 6.061 6.061 6.502
angles (deg): 90.00 90.00 90.00
Atoms (fractional coordinates):
Cs: 0.000 0.000 0.000
Cd: 0.500 0.500 0.500
Ba: 0.000 0.000 0.500
In: 0.000 0.500 0.000
In: 0.500 0.000 0.000

Calculated values
Its space-group type is P4/mmm, No. 123. The value obtained for the calculated total energy is -34.040 eV per atom. As for the density: 4.3 g/cm³.

(15)
Here is YMg2PdPt at its PBEsol-relaxed geometry from the Alexandria database. Energies are from SCAN.

a b c (Å): 4.718 5.452 5.452
angles (deg): 90.00 90.00 90.00
Atoms (fractional coordinates):
Y: 0.000 0.000 0.000
Mg: 0.000 0.000 0.500
Mg: 0.000 0.500 0.000
Pd: 0.500 0.000 0.000
Pt: 0.500 0.500 0.500

Calculated values
Its space-group type is P4/mmm, No. 123. The value obtained for the calculated total energy is -26.737 eV per atom. As for the density: 5.2 g/cm³.

(16)
Here is ZnAsRuBr2 at its PBEsol-relaxed geometry from the Alexandria database. Energies are from SCAN.

a b c (Å): 4.896 4.879 4.879
angles (deg): 90.00 90.00 90.00
Atoms (fractional coordinates):
Ru: 0.500 0.500 0.500
As: 0.500 0.000 0.000
Zn: 0.000 0.000 0.000
Br: 0.000 0.000 0.500
Br: 0.000 0.500 0.000

Calculated values
Its energy above the most stable polymorph in this dataset is 538 meV per atom. Its space-group type is P4/mmm, No. 123. For the formation energy from raw total energies, the calculation gives 0.889 eV per atom. As for the density: 5.7 g/cm³.

(17)
Here is Mn2SiO4 at its PBEsol-relaxed geometry from the Alexandria database. Energies are from SCAN.

a b c (Å): 4.885 6.231 10.548
angles (deg): 90.00 90.00 90.00
Atoms (fractional coordinates):
Si: 0.571 0.250 0.403
Si: 0.071 0.750 0.097
Si: 0.429 0.750 0.597
Si: 0.929 0.250 0.903
Mn: 0.514 0.750 0.280
Mn: 0.486 0.250 0.720
Mn: 0.500 0.500 0.000
Mn: 0.500 0.000 0.000
Mn: 0.014 0.250 0.220
Mn: 0.986 0.750 0.780
Mn: 0.000 0.500 0.500
Mn: 0.000 0.000 0.500
O: 0.789 0.250 0.048
O: 0.289 0.750 0.452
O: 0.211 0.750 0.952
O: 0.711 0.250 0.548
O: 0.263 0.250 0.907
O: 0.763 0.750 0.593
O: 0.737 0.750 0.093
O: 0.237 0.250 0.407
O: 0.287 0.539 0.665
O: 0.787 0.461 0.835
O: 0.713 0.039 0.335
O: 0.213 0.961 0.165
O: 0.713 0.461 0.335
O: 0.213 0.539 0.165
O: 0.287 0.961 0.665
O: 0.787 0.039 0.835

Calculated values
Its space-group type is Pnma, No. 62. For the formation energy from raw total energies, the calculation gives -2.467 eV per atom. As for the density: 4.2 g/cm³.

(18)
Here is CaAlI3 at its PBEsol-relaxed geometry from the Alexandria database. Energies are from SCAN.

a b c (Å): 5.962 5.962 5.962
angles (deg): 90.00 90.00 90.00
Atoms (fractional coordinates):
I: 0.000 0.500 0.000
I: 0.000 0.000 0.500
I: 0.500 0.000 0.000
Ca: 0.000 0.000 0.000
Al: 0.500 0.500 0.500

Calculated values
Its space-group type is Pm-3m, No. 221. For the formation energy from raw total energies, the calculation gives -0.793 eV per atom. As for the density: 3.5 g/cm³.

(19)
Here is ZrTeP2 at its PBEsol-relaxed geometry from the Alexandria database. Energies are from SCAN.

a b c (Å): 5.848 5.848 7.535
angles (deg): 112.83 112.83 90.00
Atoms (fractional coordinates):
P: 0.848 0.375 0.250
P: 0.402 0.875 0.250
P: 0.625 0.598 0.750
P: 0.125 0.152 0.750
Te: 0.250 0.750 0.500
Te: 0.000 0.000 0.000
Zr: 0.750 0.250 0.500
Zr: 0.500 0.500 0.000

Calculated values
Its energy above the most stable polymorph in this dataset is 205 meV per atom. Its space-group type is I-42d, No. 122. For the formation energy from raw total energies, the calculation gives 0.059 eV per atom. As for the density: 4.3 g/cm³.

(20)
Here is La4CrAs at its PBEsol-relaxed geometry from the Alexandria database. Energies are from SCAN.

a b c (Å): 6.234 6.234 6.234
angles (deg): 60.00 60.00 60.00
Atoms (fractional coordinates):
As: 0.750 0.750 0.750
Cr: 0.000 0.000 0.000
La: 0.376 0.376 0.376
La: 0.376 0.376 0.872
La: 0.872 0.376 0.376
La: 0.376 0.872 0.376

Calculated values
Its space-group type is F-43m, No. 216. The value obtained for the calculated total energy is -34.826 eV per atom. As for the density: 6.6 g/cm³.

(21)
Here is PrNi5 at its PBEsol-relaxed geometry from the Alexandria database. Energies are from SCAN.

a b c (Å): 3.907 4.895 4.895
angles (deg): 120.00 90.00 90.00
Atoms (fractional coordinates):
Pr: 0.000 0.000 0.000
Ni: 0.000 0.333 0.667
Ni: 0.000 0.667 0.333
Ni: 0.500 0.000 0.500
Ni: 0.500 0.500 0.500
Ni: 0.500 0.500 0.000

Calculated values
Its space-group type is P6/mmm, No. 191. The value obtained for the calculated total energy is -20.934 eV per atom. As for the density: 8.9 g/cm³.

(22)
Here is NiAu3 at its PBEsol-relaxed geometry from the Alexandria database. Energies are from SCAN.

a b c (Å): 4.605 5.555 5.555
angles (deg): 120.00 90.00 90.00
Atoms (fractional coordinates):
Au: 0.750 0.170 0.339
Au: 0.250 0.830 0.661
Au: 0.750 0.170 0.830
Au: 0.250 0.830 0.170
Au: 0.750 0.661 0.830
Au: 0.250 0.339 0.170
Ni: 0.750 0.667 0.333
Ni: 0.250 0.333 0.667

Calculated values
Its space-group type is P6_3/mmc, No. 194. The value obtained for the calculated total energy is -55.809 eV per atom. As for the density: 17.5 g/cm³.

(23)
Here is Sr2Zn at its PBEsol-relaxed geometry from the Alexandria database. Energies are from SCAN.

a b c (Å): 4.285 7.423 7.781
angles (deg): 90.00 90.00 90.00
Atoms (fractional coordinates):
Sr: 0.000 0.237 0.665
Sr: 0.000 0.763 0.335
Sr: 0.500 0.737 0.835
Sr: 0.500 0.263 0.165
Zn: 0.000 0.000 0.000
Zn: 0.500 0.500 0.500

Calculated values
Its space-group type is Pnnm, No. 58. The value obtained for the calculated total energy is -19.418 eV per atom. As for the density: 3.2 g/cm³.